# 1
The following is a DFT calculation (GGA-PBE) of Sr2La2Zr after structural relaxation.

Lattice parameters (Å, degrees): 9.816 9.816 9.816 152.71 152.71 38.98
Fractional positions:
1 Sr 0.250 0.750 0.500
2 Sr 0.750 0.250 0.500
3 La 0.082 0.082 0.000
4 La 0.918 0.918 0.000
5 Zr 0.500 0.500 0.000

Properties
- Offset from the most stable computed form: 262 meV per atom
- Space group: I4/mmm
- Calculated formation energy: 688 meV/atom

---

# 2
The following is a DFT calculation (GGA-PBE) of Sr2LaZr after structural relaxation.

Lattice parameters (Å, degrees): 3.575 3.575 12.526 90.00 90.00 110.24
Fractional positions:
1 Sr 0.000 0.000 0.229
2 Sr 0.000 0.000 0.771
3 La 0.500 0.500 0.500
4 Zr 0.500 0.500 0.000

Properties
- Offset from the most stable computed form: 171 meV per atom
- Space group: Cmmm
- Calculated formation energy: 462 meV/atom

---

# 3
The following is a DFT calculation (GGA-PBE) of Sr2LaZr after structural relaxation.

Lattice parameters (Å, degrees): 5.985 5.985 5.985 60.00 60.00 60.00
Fractional positions:
1 Sr 0.250 0.250 0.250
2 Sr 0.750 0.750 0.750
3 La 0.000 0.000 0.000
4 Zr 0.500 0.500 0.500

Properties
- Offset from the most stable computed form: 270 meV per atom
- Space group: Fm-3m
- Calculated formation energy: 561 meV/atom

---

# 4
The following is a DFT calculation (GGA-PBE) of Sr2LaZr after structural relaxation.

Lattice parameters (Å, degrees): 12.789 12.789 12.789 16.52 16.52 16.52
Fractional positions:
1 Sr 0.243 0.243 0.243
2 Sr 0.757 0.757 0.757
3 La 0.000 0.000 0.000
4 Zr 0.500 0.500 0.500

Properties
- Offset from the most stable computed form: 142 meV per atom
- Space group: R-3m
- Calculated formation energy: 433 meV/atom

---

# 5
The following is a DFT calculation (GGA-PBE) of SrLa3Zr after structural relaxation.

Lattice parameters (Å, degrees): 5.923 5.923 5.923 90.00 90.00 90.00
Fractional positions:
1 Sr 0.000 0.000 0.000
2 La 0.000 0.500 0.500
3 La 0.500 0.000 0.500
4 La 0.500 0.500 0.000
5 Zr 0.500 0.500 0.500

Properties
- Offset from the most stable computed form: 0 meV per atom
- Space group: Pm-3m
- Calculated formation energy: 333 meV/atom

---

# 6
The following is a DFT calculation (GGA-PBE) of Sr2LaZr after structural relaxation.

Lattice parameters (Å, degrees): 6.718 6.718 6.272 100.97 100.97 32.12
Fractional positions:
1 Sr 0.238 0.238 0.237
2 Sr 0.762 0.762 0.763
3 La 0.000 0.000 0.500
4 Zr 0.500 0.500 0.000

Properties
- Offset from the most stable computed form: 145 meV per atom
- Space group: C2/m
- Calculated formation energy: 436 meV/atom

---

# 7
The following is a DFT calculation (GGA-PBE) of SrLa2Zr after structural relaxation.

Lattice parameters (Å, degrees): 5.841 5.841 5.841 60.00 60.00 60.00
Fractional positions:
1 Sr 0.000 0.000 0.000
2 La 0.500 0.500 0.500
3 La 0.750 0.750 0.750
4 Zr 0.250 0.250 0.250

Properties
- Offset from the most stable computed form: 254 meV per atom
- Space group: F-43m
- Calculated formation energy: 421 meV/atom

---

# 8
The following is a DFT calculation (GGA-PBE) of Sr2LaZr after structural relaxation.

Lattice parameters (Å, degrees): 6.241 6.241 6.908 99.11 99.11 34.33
Fractional positions:
1 Sr 0.000 0.000 0.000
2 Sr 0.236 0.236 0.731
3 La 0.764 0.764 0.288
4 Zr 0.490 0.490 0.461

Properties
- Offset from the most stable computed form: 101 meV per atom
- Space group: Cm
- Calculated formation energy: 392 meV/atom

---

# 9
The following is a DFT calculation (GGA-PBE) of Sr2LaZr after structural relaxation.

Lattice parameters (Å, degrees): 5.970 5.970 5.970 60.00 60.00 60.00
Fractional positions:
1 Sr 0.000 0.000 0.000
2 Sr 0.250 0.250 0.250
3 La 0.750 0.750 0.750
4 Zr 0.500 0.500 0.500

Properties
- Offset from the most stable computed form: 186 meV per atom
- Space group: F-43m
- Calculated formation energy: 477 meV/atom

---

# 10
The following is a DFT calculation (GGA-PBE) of Sr2LaZr after structural relaxation.

Lattice parameters (Å, degrees): 7.386 7.386 7.386 150.23 128.01 61.06
Fractional positions:
1 Sr 0.000 0.000 0.000
2 Sr 0.715 0.215 0.500
3 La 0.431 0.431 0.000
4 Zr 0.237 0.737 0.500

Properties
- Offset from the most stable computed form: 121 meV per atom
- Space group: Imm2
- Calculated formation energy: 412 meV/atom

---

# 11
The following is a DFT calculation (GGA-PBE) of Sr4LaZr after structural relaxation.

Lattice parameters (Å, degrees): 7.201 7.201 7.201 60.00 60.00 60.00
Fractional positions:
1 Sr 0.124 0.124 0.124
2 Sr 0.124 0.124 0.628
3 Sr 0.124 0.628 0.124
4 Sr 0.628 0.124 0.124
5 La 0.500 0.500 0.500
6 Zr 0.750 0.750 0.750

Properties
- Space group: F-43m
- Calculated formation energy: 671 meV/atom

---

# 12
The following is a DFT calculation (GGA-PBE) of SrLa2Zr after structural relaxation.

Lattice parameters (Å, degrees): 6.355 6.355 6.355 132.33 132.33 69.71
Fractional positions:
1 Sr 0.000 0.000 0.000
2 La 0.500 0.500 0.000
3 La 0.750 0.250 0.500
4 Zr 0.250 0.750 0.500

Properties
- Offset from the most stable computed form: 182 meV per atom
- Space group: I-4m2
- Calculated formation energy: 350 meV/atom

---

# 13
The following is a DFT calculation (GGA-PBE) of Sr2LaZr after structural relaxation.

Lattice parameters (Å, degrees): 3.610 6.280 6.680 90.00 96.96 90.00
Fractional positions:
1 Sr 0.234 0.000 0.260
2 Sr 0.766 0.000 0.740
3 La 0.500 0.500 0.000
4 Zr 0.000 0.500 0.500

Properties
- Offset from the most stable computed form: 179 meV per atom
- Space group: P2/m
- Calculated formation energy: 470 meV/atom

---

# 14
The following is a DFT calculation (GGA-PBE) of SrLa2Zr after structural relaxation.

Lattice parameters (Å, degrees): 7.211 7.211 7.211 151.12 127.62 60.92
Fractional positions:
1 Sr 0.000 0.000 0.000
2 La 0.285 0.785 0.500
3 La 0.715 0.215 0.500
4 Zr 0.500 0.500 0.000

Properties
- Offset from the most stable computed form: 148 meV per atom
- Space group: Immm
- Calculated formation energy: 316 meV/atom

---

# 15
The following is a DFT calculation (GGA-PBE) of SrLa2Zr after structural relaxation.

Lattice parameters (Å, degrees): 3.624 5.057 7.697 90.00 90.00 90.00
Fractional positions:
1 Sr 0.000 0.000 0.000
2 La 0.000 0.000 0.538
3 La 0.500 0.500 0.304
4 Zr 0.500 0.500 0.732

Properties
- Offset from the most stable computed form: 123 meV per atom
- Space group: Pmm2
- Calculated formation energy: 291 meV/atom

---

# 16
The following is a DFT calculation (GGA-PBE) of SrLa2Zr after structural relaxation.

Lattice parameters (Å, degrees): 5.285 5.285 4.913 90.00 90.00 90.00
Fractional positions:
1 Sr 0.000 0.000 0.000
2 La 0.000 0.500 0.500
3 La 0.500 0.000 0.500
4 Zr 0.500 0.500 0.000

Properties
- Offset from the most stable computed form: 171 meV per atom
- Space group: P4/mmm
- Calculated formation energy: 339 meV/atom

---

# 17
The following is a DFT calculation (GGA-PBE) of Sr2LaZr after structural relaxation.

Lattice parameters (Å, degrees): 6.735 6.735 6.735 135.50 135.50 64.76
Fractional positions:
1 Sr 0.250 0.750 0.500
2 Sr 0.750 0.250 0.500
3 La 0.000 0.000 0.000
4 Zr 0.500 0.500 0.000

Properties
- Offset from the most stable computed form: 190 meV per atom
- Space group: I4/mmm
- Calculated formation energy: 481 meV/atom

---

# 18
The following is a DFT calculation (GGA-PBE) of SrLa2Zr after structural relaxation.

Lattice parameters (Å, degrees): 6.118 6.118 6.118 128.19 128.19 76.32
Fractional positions:
1 Sr 0.000 0.000 0.000
2 La 0.250 0.750 0.500
3 La 0.750 0.250 0.500
4 Zr 0.500 0.500 0.000

Properties
- Offset from the most stable computed form: 161 meV per atom
- Space group: I4/mmm
- Calculated formation energy: 328 meV/atom

---

# 19
The following is a DFT calculation (GGA-PBE) of SrLa2Zr after structural relaxation.

Lattice parameters (Å, degrees): 3.609 3.609 10.739 90.00 90.00 90.00
Fractional positions:
1 Sr 0.000 0.000 0.000
2 La 0.000 0.000 0.454
3 La 0.500 0.500 0.700
4 Zr 0.500 0.500 0.248

Properties
- Offset from the most stable computed form: 96 meV per atom
- Space group: P4mm
- Calculated formation energy: 264 meV/atom

---

# 20
The following is a DFT calculation (GGA-PBE) of SrLa2Zr after structural relaxation.

Lattice parameters (Å, degrees): 5.995 5.995 6.874 97.19 97.19 34.55
Fractional positions:
1 Sr 0.000 0.000 0.000
2 La 0.238 0.238 0.711
3 La 0.762 0.762 0.289
4 Zr 0.500 0.500 0.500

Properties
- Offset from the most stable computed form: 103 meV per atom
- Space group: C2/m
- Calculated formation energy: 270 meV/atom